DFT (PBE) results for a geometry-optimized Hf2VSn2 structure.

Computed properties:
VASP energy (eV/atom): -7.514
Symmetry: P4/mbm (127)
Formation energy from the elements (meV/atom): -107

Cell lengths 7.177, 7.177, 4.065 Å; angles 90.00, 90.00, 90.00 degrees
Fractional positions:
Sn1 0.859 0.641 0.000
Sn2 0.641 0.141 0.000
Sn3 0.359 0.859 0.000
Sn4 0.141 0.359 0.000
Hf1 0.165 0.665 0.500
Hf2 0.835 0.335 0.500
Hf3 0.335 0.165 0.500
Hf4 0.665 0.835 0.500
V1 0.500 0.500 0.000
V2 0.000 0.000 0.000



DFT (PBE) results for a geometry-optimized Hf8VSn2 structure.

Computed properties:
VASP energy (eV/atom): -8.882
Symmetry: Immm (71)
Formation energy from the elements (meV/atom): -86

Cell lengths 5.048, 6.626, 8.208 Å; angles 113.80, 107.91, 90.00 degrees
Fractional positions:
Hf1 0.368 0.137 0.737
Hf2 0.632 0.401 0.263
Hf3 0.825 0.825 0.650
Hf4 0.175 0.175 0.350
Hf5 0.000 0.258 0.000
Hf6 0.368 0.599 0.737
Hf7 0.632 0.863 0.263
Hf8 0.000 0.742 0.000
Sn1 0.812 0.312 0.623
Sn2 0.188 0.688 0.377
V1 0.500 0.000 0.000



DFT (PBE) results for a geometry-optimized HfVSn2 structure.

Computed properties:
VASP energy (eV/atom): -6.648
Symmetry: Fm-3m (225)
Excess energy over the best structure of this formula in the dataset (eV/f.u.): 0.000
Formation energy from the elements (meV/atom): 121

Cell lengths 4.880, 4.880, 4.880 Å; angles 60.00, 60.00, 60.00 degrees
Fractional positions:
V1 0.000 0.000 0.000
Hf1 0.500 0.500 0.500
Sn1 0.750 0.750 0.750
Sn2 0.250 0.250 0.250



DFT (PBE) results for a geometry-optimized Hf12VSn6 structure.

Computed properties:
VASP energy (eV/atom): -7.873
Symmetry: R-3 (148)
Formation energy from the elements (meV/atom): 158

Cell lengths 7.881, 7.881, 7.881 Å; angles 100.58, 100.58, 100.58 degrees
Fractional positions:
Hf1 0.678 0.952 0.990
Hf2 0.781 0.600 0.482
Hf3 0.990 0.678 0.952
Hf4 0.952 0.990 0.678
Hf5 0.518 0.219 0.400
Hf6 0.600 0.482 0.781
Hf7 0.010 0.322 0.048
Hf8 0.219 0.400 0.518
Hf9 0.048 0.010 0.322
Hf10 0.482 0.781 0.600
Hf11 0.400 0.518 0.219
Hf12 0.322 0.048 0.010
V1 0.000 0.000 0.000
Sn1 0.663 0.338 0.106
Sn2 0.894 0.337 0.662
Sn3 0.106 0.663 0.338
Sn4 0.662 0.894 0.337
Sn5 0.338 0.106 0.663
Sn6 0.337 0.662 0.894



DFT (PBE) results for a geometry-optimized Hf4VSn2 structure.

Computed properties:
VASP energy (eV/atom): -7.777
Symmetry: I4/mmm (139)
Formation energy from the elements (meV/atom): 357

Cell lengths 4.635, 4.635, 8.372 Å; angles 73.93, 73.93, 90.00 degrees
Fractional positions:
Hf1 0.000 0.500 0.000
Hf2 0.174 0.174 0.653
Hf3 0.500 0.000 0.000
Hf4 0.826 0.826 0.347
V1 0.000 0.000 0.000
Sn1 0.640 0.640 0.720
Sn2 0.360 0.360 0.280



DFT (PBE) results for a geometry-optimized HfV2Sn structure.

Computed properties:
VASP energy (eV/atom): -8.059
Symmetry: P4/mmm (123)
Formation energy from the elements (meV/atom): -11

Cell lengths 3.596, 4.383, 4.383 Å; angles 90.00, 90.00, 90.00 degrees
Fractional positions:
V1 0.000 0.500 0.000
V2 0.000 0.000 0.500
Hf1 0.500 0.500 0.500
Sn1 0.500 0.000 0.000



DFT (PBE) results for a geometry-optimized HfVSn2 structure.

Computed properties:
VASP energy (eV/atom): -6.524
Symmetry: I-42d (122)
Excess energy over the best structure of this formula in the dataset (eV/f.u.): 0.498
Formation energy from the elements (meV/atom): 245

Cell lengths 7.666, 7.666, 6.193 Å; angles 51.76, 51.76, 90.00 degrees
Fractional positions:
Sn1 0.146 0.625 0.250
Sn2 0.875 0.854 0.750
Sn3 0.375 0.396 0.750
Sn4 0.604 0.125 0.250
V1 0.500 0.500 0.000
V2 0.250 0.750 0.500
Hf1 0.750 0.250 0.500
Hf2 0.000 0.000 0.000



DFT (PBE) results for a geometry-optimized HfV3Sn structure.

Computed properties:
VASP energy (eV/atom): -6.857
Symmetry: Pm-3m (221)
Excess energy over the best structure of this formula in the dataset (eV/f.u.): 0.000
Formation energy from the elements (meV/atom): 1406

Cell lengths 4.662, 4.662, 4.662 Å; angles 90.00, 90.00, 90.00 degrees
Fractional positions:
Sn1 0.500 0.500 0.500
V1 0.500 0.000 0.000
V2 0.000 0.500 0.000
V3 0.000 0.000 0.500
Hf1 0.000 0.000 0.000